# CaAc4Ag5 | the Alexandria database | GGA-PBE | optimized geometry
data_CaAc4Ag5
_symmetry_space_group_name_H-M 'P 4/m m m'
_symmetry_Int_Tables_number 123
_symmetry_space_group_name_Hall '-P 4 2'
_cell_length_a 3.8982
_cell_length_b 3.8982
_cell_length_c 19.7770
_cell_angle_alpha 90.00
_cell_angle_beta 90.00
_cell_angle_gamma 90.00
loop_
_atom_site_label
_atom_site_type_symbol
_atom_site_fract_x
_atom_site_fract_y
_atom_site_fract_z
Ca1 Ca 0.0000 0.0000 0.0000
Ac1 Ac 0.0000 0.0000 0.1933
Ac2 Ac 0.0000 0.0000 0.3982
Ag1 Ag 0.5000 0.5000 0.0909
Ag2 Ag 0.5000 0.5000 0.2954
Ag3 Ag 0.5000 0.5000 0.5000
# Uncorrected energy (eV per cell): -35.34

# CaAcAg | the Alexandria database | GGA-PBE | optimized geometry
data_CaAcAg
_symmetry_space_group_name_H-M 'P 3 m 1'
_symmetry_Int_Tables_number 156
_cell_length_a 5.3804
_cell_length_b 5.3804
_cell_length_c 3.9683
_cell_angle_alpha 90.00
_cell_angle_beta 90.00
_cell_angle_gamma 120.00
loop_
_symmetry_equiv_pos_as_xyz
'x,y,z'
'-y,x-y,z'
'-x+y,-x,z'
'-y,-x,z'
'-x+y,y,z'
'x,x-y,z'
loop_
_atom_site_label
_atom_site_type_symbol
_atom_site_fract_x
_atom_site_fract_y
_atom_site_fract_z
Ca1 Ca 0.0000 0.0000 0.0000
Ac1 Ac 0.3333 0.6667 0.4983
Ag1 Ag 0.6667 0.3333 0.9912
# Energy above the most stable polymorph in this dataset (eV per atom): 0.137

# CaAc2Ag3 | the Alexandria database | GGA-PBE | optimized geometry
data_CaAc2Ag3
_symmetry_space_group_name_H-M 'P 4/m m m'
_symmetry_Int_Tables_number 123
_symmetry_space_group_name_Hall '-P 4 2'
_cell_length_a 3.8667
_cell_length_b 3.8667
_cell_length_c 11.7701
_cell_angle_alpha 90.00
_cell_angle_beta 90.00
_cell_angle_gamma 90.00
loop_
_atom_site_label
_atom_site_type_symbol
_atom_site_fract_x
_atom_site_fract_y
_atom_site_fract_z
Ca1 Ca 0.0000 0.0000 0.0000
Ac1 Ac 0.0000 0.0000 0.3264
Ag1 Ag 0.5000 0.5000 0.1532
Ag2 Ag 0.5000 0.5000 0.5000
# Energy above the most stable polymorph in this dataset (eV per atom): 0.008

# CaAcAg | the Alexandria database | GGA-PBE | optimized geometry
data_CaAcAg
_symmetry_space_group_name_H-M 'F -4 3 m'
_symmetry_Int_Tables_number 216
_symmetry_space_group_name_Hall 'F -4 2 3'
_cell_length_a 7.5956
_cell_length_b 7.5956
_cell_length_c 7.5956
_cell_angle_alpha 90.00
_cell_angle_beta 90.00
_cell_angle_gamma 90.00
loop_
_atom_site_label
_atom_site_type_symbol
_atom_site_fract_x
_atom_site_fract_y
_atom_site_fract_z
Ca1 Ca 0.0000 0.0000 0.0000
Ac1 Ac 0.0000 0.0000 0.5000
Ag1 Ag 0.2500 0.2500 0.7500
# Energy above the most stable polymorph in this dataset (eV per atom): 0.115

# Ca4AcAg4 | the Alexandria database | GGA-PBE | optimized geometry
data_Ca4AcAg4
_symmetry_space_group_name_H-M 'P 42/n'
_symmetry_Int_Tables_number 86
_cell_length_a 9.7901
_cell_length_b 9.7901
_cell_length_c 6.1280
_cell_angle_alpha 90.00
_cell_angle_beta 90.00
_cell_angle_gamma 90.00
loop_
_symmetry_equiv_pos_as_xyz
'x,y,z'
'-x,-y,-z'
'-y,x+1/2,z+1/2'
'y,-x+1/2,-z+1/2'
'-x+1/2,-y+1/2,z'
'x+1/2,y+1/2,-z'
'y+1/2,-x,z+1/2'
'-y+1/2,x,-z+1/2'
loop_
_atom_site_label
_atom_site_type_symbol
_atom_site_fract_x
_atom_site_fract_y
_atom_site_fract_z
Ca1 Ca 0.0815 0.6530 0.1495
Ac1 Ac 0.2500 0.2500 0.2500
Ag1 Ag 0.0359 0.6100 0.6434
# Uncorrected energy (eV per cell): -49.81

# Ca4AcAg5 | the Alexandria database | GGA-PBE | optimized geometry
data_Ca4AcAg5
_symmetry_space_group_name_H-M 'P 4/m m m'
_symmetry_Int_Tables_number 123
_symmetry_space_group_name_Hall '-P 4 2'
_cell_length_a 3.7812
_cell_length_b 3.7812
_cell_length_c 18.6841
_cell_angle_alpha 90.00
_cell_angle_beta 90.00
_cell_angle_gamma 90.00
loop_
_atom_site_label
_atom_site_type_symbol
_atom_site_fract_x
_atom_site_fract_y
_atom_site_fract_z
Ca1 Ca 0.0000 0.0000 0.0970
Ca2 Ca 0.0000 0.0000 0.2922
Ac1 Ac 0.0000 0.0000 0.5000
Ag1 Ag 0.5000 0.5000 0.0000
Ag2 Ag 0.5000 0.5000 0.1946
Ag3 Ag 0.5000 0.5000 0.3886
# Uncorrected energy (eV per cell): -29.34

# CaAcAg2 | the Alexandria database | GGA-PBE | optimized geometry
data_CaAcAg2
_symmetry_space_group_name_H-M 'P 4/m m m'
_symmetry_Int_Tables_number 123
_symmetry_space_group_name_Hall '-P 4 2'
_cell_length_a 3.8370
_cell_length_b 3.8370
_cell_length_c 7.7160
_cell_angle_alpha 90.00
_cell_angle_beta 90.00
_cell_angle_gamma 90.00
loop_
_atom_site_label
_atom_site_type_symbol
_atom_site_fract_x
_atom_site_fract_y
_atom_site_fract_z
Ca1 Ca 0.0000 0.0000 0.0000
Ac1 Ac 0.0000 0.0000 0.5000
Ag1 Ag 0.5000 0.5000 0.2338
# Energy above the most stable polymorph in this dataset (eV per atom): 0.020

# Ca2AcAg6 | the Alexandria database | GGA-PBE | optimized geometry
data_Ca2AcAg6
_symmetry_space_group_name_H-M 'P 6/m m m'
_symmetry_Int_Tables_number 191
_symmetry_space_group_name_Hall '-P 6 2'
_cell_length_a 8.3554
_cell_length_b 8.3554
_cell_length_c 3.7601
_cell_angle_alpha 90.00
_cell_angle_beta 90.00
_cell_angle_gamma 120.00
loop_
_atom_site_label
_atom_site_type_symbol
_atom_site_fract_x
_atom_site_fract_y
_atom_site_fract_z
Ca1 Ca 0.3333 0.6667 0.0000
Ac1 Ac 0.0000 0.0000 0.0000
Ag1 Ag 0.0000 0.3362 0.5000
# Energy above the most stable polymorph in this dataset (eV per atom): 0.000

# Ca2AcAg9 | the Alexandria database | GGA-PBE | optimized geometry
data_Ca2AcAg9
_symmetry_space_group_name_H-M 'R -3 m'
_symmetry_Int_Tables_number 166
_symmetry_space_group_name_Hall '-R 3 2"'
_cell_length_a 5.7892
_cell_length_b 5.7892
_cell_length_c 27.9460
_cell_angle_alpha 90.00
_cell_angle_beta 90.00
_cell_angle_gamma 120.00
loop_
_atom_site_label
_atom_site_type_symbol
_atom_site_fract_x
_atom_site_fract_y
_atom_site_fract_z
Ca1 Ca 0.0000 0.0000 0.1438
Ac1 Ac 0.0000 0.0000 0.0000
Ag1 Ag 0.0000 0.0000 0.3329
Ag2 Ag 0.0000 0.0000 0.5000
Ag3 Ag 0.0020 0.5010 0.9155
# Uncorrected energy (eV per cell): -109.30

# CaAc2Ag2 | the Alexandria database | GGA-PBE | optimized geometry
data_CaAc2Ag2
_symmetry_space_group_name_H-M 'P 1 21/m 1'
_symmetry_Int_Tables_number 11
_cell_length_a 6.3252
_cell_length_b 4.6157
_cell_length_c 12.0237
_cell_angle_alpha 90.00
_cell_angle_beta 95.35
_cell_angle_gamma 90.00
loop_
_symmetry_equiv_pos_as_xyz
'x,y,z'
'-x,-y,-z'
'-x,y+1/2,-z'
'x,-y+1/2,z'
loop_
_atom_site_label
_atom_site_type_symbol
_atom_site_fract_x
_atom_site_fract_y
_atom_site_fract_z
Ca1 Ca 0.0972 0.2500 0.2895
Ac1 Ac 0.2437 0.2500 0.9500
Ac2 Ac 0.3954 0.2500 0.6230
Ag1 Ag 0.1271 0.7500 0.4735
Ag2 Ag 0.2732 0.7500 0.1436
# Energy above the most stable polymorph in this dataset (eV per atom): 0.077

# Ca2AcAg3 | the Alexandria database | GGA-PBE | optimized geometry
data_Ca2AcAg3
_symmetry_space_group_name_H-M 'P 4/m m m'
_symmetry_Int_Tables_number 123
_symmetry_space_group_name_Hall '-P 4 2'
_cell_length_a 3.8001
_cell_length_b 3.8001
_cell_length_c 11.4095
_cell_angle_alpha 90.00
_cell_angle_beta 90.00
_cell_angle_gamma 90.00
loop_
_atom_site_label
_atom_site_type_symbol
_atom_site_fract_x
_atom_site_fract_y
_atom_site_fract_z
Ca1 Ca 0.0000 0.0000 0.1607
Ac1 Ac 0.0000 0.0000 0.5000
Ag1 Ag 0.5000 0.5000 0.0000
Ag2 Ag 0.5000 0.5000 0.3173
# Uncorrected energy (eV per cell): -18.39

# CaAcAg | the Alexandria database | GGA-PBE | optimized geometry
data_CaAcAg
_symmetry_space_group_name_H-M 'C m c m'
_symmetry_Int_Tables_number 63
_symmetry_space_group_name_Hall '-C 2c 2'
_cell_length_a 3.9202
_cell_length_b 17.8919
_cell_length_c 5.7936
_cell_angle_alpha 90.00
_cell_angle_beta 90.00
_cell_angle_gamma 90.00
loop_
_atom_site_label
_atom_site_type_symbol
_atom_site_fract_x
_atom_site_fract_y
_atom_site_fract_z
Ca1 Ca 0.0000 0.2178 0.2500
Ac1 Ac 0.0000 0.0752 0.7500
Ag1 Ag 0.0000 0.4217 0.7500
# Energy above the most stable polymorph in this dataset (eV per atom): 0.017

# CaAcAg | the Alexandria database | GGA-PBE | optimized geometry
data_CaAcAg
_symmetry_space_group_name_H-M 'F d d d'
_symmetry_Int_Tables_number 70
_cell_length_a 10.3235
_cell_length_b 12.0602
_cell_length_c 15.0981
_cell_angle_alpha 90.00
_cell_angle_beta 90.00
_cell_angle_gamma 90.00
loop_
_symmetry_equiv_pos_as_xyz
'x,y,z'
'-x,-y,-z'
'-x+1/4,-y+1/4,z'
'x+1/4,y+1/4,-z'
'x,-y+1/4,-z+1/4'
'-x,y+1/4,z+1/4'
'-x+1/4,y,-z+1/4'
'x+1/4,-y,z+1/4'
'x,y+1/2,z+1/2'
'-x,-y+1/2,-z+1/2'
'-x+1/4,-y+3/4,z+1/2'
'x+1/4,y+3/4,-z+1/2'
'x,-y+3/4,-z+3/4'
'-x,y+3/4,z+3/4'
'-x+1/4,y+1/2,-z+3/4'
'x+1/4,-y+1/2,z+3/4'
'x+1/2,y,z+1/2'
'-x+1/2,-y,-z+1/2'
'-x+3/4,-y+1/4,z+1/2'
'x+3/4,y+1/4,-z+1/2'
'x+1/2,-y+1/4,-z+3/4'
'-x+1/2,y+1/4,z+3/4'
'-x+3/4,y,-z+3/4'
'x+3/4,-y,z+3/4'
'x+1/2,y+1/2,z'
'-x+1/2,-y+1/2,-z'
'-x+3/4,-y+3/4,z'
'x+3/4,y+3/4,-z'
'x+1/2,-y+3/4,-z+1/4'
'-x+1/2,y+3/4,z+1/4'
'-x+3/4,y+1/2,-z+1/4'
'x+3/4,-y+1/2,z+1/4'
loop_
_atom_site_label
_atom_site_type_symbol
_atom_site_fract_x
_atom_site_fract_y
_atom_site_fract_z
Ca1 Ca 0.0000 0.0000 0.0000
Ac1 Ac 0.1250 0.1250 0.4890
Ag1 Ag 0.1250 0.3297 0.6250
# Energy above the most stable polymorph in this dataset (eV per atom): 0.129